A plane-wave DFT calculation with PBE was carried out for a relaxed structure of TiInOs2C.

Values from the calculation:
- energy relative to the elements (eV per atom) = 2.64
- space-group type = No. 123
- density of states at the Fermi level (states/eV/f.u.) = 5.06

Lattice parameters (Å, degrees): 4.9531 3.8912 4.9531 90.00 90.00 90.00
Last column: nearest neighbours and their distance in Å.
Element x y z (fractional)
Os1 0.5000 0.0000 0.0000  2 In 2.48
Os2 0.0000 0.0000 0.5000  2 In 2.48
In1 0.0000 0.0000 0.0000  2 C 1.95
C1 0.0000 0.5000 0.0000  2 In 1.95
Ti1 0.5000 0.5000 0.5000  8 Os 3.15, 4 C 3.50